Below is BiAs2I after structural relaxation, with properties calculated at the GGA-PBEsol level.

Summary:
- calculated volume (Å³/atom) = 24.13
- E_form (uncorrected) (meV/atom) = 437
- magnetic moment (μB per formula unit) = 0.00
- symmetry = No. 225

Cell: 5.149 5.149 5.149 Å, 60.00 60.00 60.00°
Sites, in units of the cell vectors:
1 I 0.000 0.000 0.000
2 As 0.250 0.250 0.250
3 As 0.750 0.750 0.750
4 Bi 0.500 0.500 0.500